(1)
## Rb3MgI (SCAN)

Data for Rb3MgI at its PBEsol-relaxed geometry.

```
data_Rb3MgI
_symmetry_space_group_name_H-M 'P m -3 m'
_symmetry_Int_Tables_number 221
_symmetry_space_group_name_Hall '-P 4 2 3'
_cell_length_a 6.986
_cell_length_b 6.986
_cell_length_c 6.986
_cell_angle_alpha 90.00
_cell_angle_beta 90.00
_cell_angle_gamma 90.00
loop_
_atom_site_label
_atom_site_type_symbol
_atom_site_fract_x
_atom_site_fract_y
_atom_site_fract_z
Rb1 Rb 0.000 0.000 0.500
Mg1 Mg 0.000 0.000 0.000
I1 I 0.500 0.500 0.500
```

Summary:
**Raw formation energy**: -0.14 eV per atom
**Total moment**: 0.0 μB/f.u.
**Fermi-level density of states**: 5.62 states/eV/cell
**Crystal system**: cubic

=====

(2)
## MgReTe2I (SCAN)

Data for MgReTe2I at its PBEsol-relaxed geometry.

```
data_MgReTe2I
_symmetry_space_group_name_H-M 'P 4/m m m'
_symmetry_Int_Tables_number 123
_symmetry_space_group_name_Hall '-P 4 2'
_cell_length_a 5.429
_cell_length_b 5.429
_cell_length_c 5.287
_cell_angle_alpha 90.00
_cell_angle_beta 90.00
_cell_angle_gamma 90.00
loop_
_atom_site_label
_atom_site_type_symbol
_atom_site_fract_x
_atom_site_fract_y
_atom_site_fract_z
Mg1 Mg 0.000 0.000 0.000
Re1 Re 0.500 0.500 0.500
Te1 Te 0.000 0.500 0.000
I1 I 0.000 0.000 0.500
```

Summary:
**Raw formation energy**: 1.21 eV per atom
**Total moment**: 4.1 μB/f.u.
**Fermi-level density of states**: 3.17 states/eV/cell
**Crystal system**: tetragonal

=====

(3)
## MgRh2I (SCAN)

Data for MgRh2I at its PBEsol-relaxed geometry.

```
data_MgRh2I
_symmetry_space_group_name_H-M 'F m -3 m'
_symmetry_Int_Tables_number 225
_symmetry_space_group_name_Hall '-F 4 2 3'
_cell_length_a 6.415
_cell_length_b 6.415
_cell_length_c 6.415
_cell_angle_alpha 90.00
_cell_angle_beta 90.00
_cell_angle_gamma 90.00
loop_
_atom_site_label
_atom_site_type_symbol
_atom_site_fract_x
_atom_site_fract_y
_atom_site_fract_z
Mg1 Mg 0.000 0.000 0.000
Rh1 Rh 0.250 0.250 0.250
I1 I 0.000 0.000 0.500
```

Summary:
**Raw formation energy**: 0.18 eV per atom
**Total moment**: 0.0 μB/f.u.
**Fermi-level density of states**: 21.53 states/eV/cell
**Crystal system**: cubic

=====

(4)
## Mg3RhI (SCAN)

Data for Mg3RhI at its PBEsol-relaxed geometry.

```
data_Mg3RhI
_symmetry_space_group_name_H-M 'P m -3 m'
_symmetry_Int_Tables_number 221
_symmetry_space_group_name_Hall '-P 4 2 3'
_cell_length_a 5.013
_cell_length_b 5.013
_cell_length_c 5.013
_cell_angle_alpha 90.00
_cell_angle_beta 90.00
_cell_angle_gamma 90.00
loop_
_atom_site_label
_atom_site_type_symbol
_atom_site_fract_x
_atom_site_fract_y
_atom_site_fract_z
Mg1 Mg 0.000 0.000 0.500
Rh1 Rh 0.000 0.000 0.000
I1 I 0.500 0.500 0.500
```

Summary:
**Raw formation energy**: -0.15 eV per atom
**Total moment**: 0.0 μB/f.u.
**Distance to the lowest polymorph of the same formula**: 0.000 eV per atom
**Fermi-level density of states**: 2.41 states/eV/cell
**Crystal system**: cubic

=====

Among the records above, which one has the highest total moment?
MgReTe2I

=====

The highest raw formation energy belongs to which entry?
MgReTe2I

=====

Which formula does entry 2 have?
MgReTe2I